Record 1
# AcTiAl4, relaxed, DFT GGA-PBE
data_AcTiAl4
_cell_length_a 7.916
_cell_length_b 7.916
_cell_length_c 7.916
_cell_angle_alpha 90.00
_cell_angle_beta 90.00
_cell_angle_gamma 90.00
_symmetry_space_group_name_H-M 'F -4 3 m'
_symmetry_Int_Tables_number 216
_symmetry_space_group_name_Hall 'F -4 2 3'
loop_
_atom_site_label
_atom_site_type_symbol
_atom_site_fract_x
_atom_site_fract_y
_atom_site_fract_z
Ac1 Ac 0.000 0.000 0.000
Ti1 Ti 0.250 0.250 0.250
Al1 Al 0.124 0.124 0.624
# - Total magnetization: 0.9 μB/f.u.
# - Total DFT energy (no corrections): -4.661 eV per atom

=====

Record 2
# Ac8Al2Tl, relaxed, DFT GGA-PBE
data_Ac8Al2Tl
_cell_length_a 19.824
_cell_length_b 5.446
_cell_length_c 8.225
_cell_angle_alpha 90.00
_cell_angle_beta 108.25
_cell_angle_gamma 90.00
_symmetry_space_group_name_H-M 'C 1 2/m 1'
_symmetry_Int_Tables_number 12
_symmetry_space_group_name_Hall '-C 2y'
loop_
_atom_site_label
_atom_site_type_symbol
_atom_site_fract_x
_atom_site_fract_y
_atom_site_fract_z
Ac1 Ac 0.028 0.000 0.261
Ac2 Ac 0.096 0.500 0.969
Ac3 Ac 0.169 0.500 0.455
Ac4 Ac 0.198 0.000 0.804
Al1 Al 0.189 0.000 0.200
Tl1 Tl 0.000 0.500 0.500
# - Total magnetization: 0.0 μB/f.u.
# - Total DFT energy (no corrections): -3.997 eV per atom

=====

Record 3
# Ac6AlTl5, relaxed, DFT GGA-PBE
data_Ac6AlTl5
_cell_length_a 5.831
_cell_length_b 17.470
_cell_length_c 8.179
_cell_angle_alpha 90.00
_cell_angle_beta 90.00
_cell_angle_gamma 90.00
_symmetry_space_group_name_H-M 'C m m m'
_symmetry_Int_Tables_number 65
_symmetry_space_group_name_Hall '-C 2 2'
loop_
_atom_site_label
_atom_site_type_symbol
_atom_site_fract_x
_atom_site_fract_y
_atom_site_fract_z
Ac1 Ac 0.000 0.000 0.242
Ac2 Ac 0.000 0.337 0.246
Al1 Al 0.000 0.500 0.000
Tl1 Tl 0.000 0.168 0.500
Tl2 Tl 0.000 0.169 0.000
Tl3 Tl 0.000 0.500 0.500
# - Total magnetization: 0.0 μB/f.u.
# - Total DFT energy (no corrections): -3.678 eV per atom

=====

Record 4
# Ac5AlTl4, relaxed, DFT GGA-PBE
data_Ac5AlTl4
_cell_length_a 4.052
_cell_length_b 4.052
_cell_length_c 20.994
_cell_angle_alpha 90.00
_cell_angle_beta 90.00
_cell_angle_gamma 90.00
_symmetry_space_group_name_H-M 'P 4/m m m'
_symmetry_Int_Tables_number 123
_symmetry_space_group_name_Hall '-P 4 2'
loop_
_atom_site_label
_atom_site_type_symbol
_atom_site_fract_x
_atom_site_fract_y
_atom_site_fract_z
Ac1 Ac 0.000 0.000 0.000
Ac2 Ac 0.000 0.000 0.205
Ac3 Ac 0.000 0.000 0.409
Al1 Al 0.500 0.500 0.500
Tl1 Tl 0.500 0.500 0.103
Tl2 Tl 0.500 0.500 0.307
# - Total magnetization: 0.0 μB/f.u.
# - Total DFT energy (no corrections): -3.700 eV per atom

=====

Record 5
# Ac4AlTl2, relaxed, DFT GGA-PBE
data_Ac4AlTl2
_cell_length_a 5.7154
_cell_length_b 5.7154
_cell_length_c 27.8599
_cell_angle_alpha 90.00
_cell_angle_beta 90.00
_cell_angle_gamma 120.00
_symmetry_space_group_name_H-M 'R -3 m'
_symmetry_Int_Tables_number 166
_symmetry_space_group_name_Hall '-R 3 2"'
loop_
_atom_site_label
_atom_site_type_symbol
_atom_site_fract_x
_atom_site_fract_y
_atom_site_fract_z
Ac1 Ac 0.0000 0.0000 0.1239
Ac2 Ac 0.0000 0.0000 0.3754
Al1 Al 0.0000 0.0000 0.0000
Tl1 Tl 0.0000 0.0000 0.2482
# - Total magnetization: 0.0 μB/f.u.
# - Total DFT energy (no corrections): -3.740 eV per atom

=====

Record 6
# AcAlTl, relaxed, DFT GGA-PBE
data_AcAlTl
_cell_length_a 17.245
_cell_length_b 4.927
_cell_length_c 4.435
_cell_angle_alpha 90.00
_cell_angle_beta 102.79
_cell_angle_gamma 90.00
_symmetry_space_group_name_H-M 'C 1 2/m 1'
_symmetry_Int_Tables_number 12
_symmetry_space_group_name_Hall '-C 2y'
loop_
_atom_site_label
_atom_site_type_symbol
_atom_site_fract_x
_atom_site_fract_y
_atom_site_fract_z
Ac1 Ac 0.107 0.000 0.342
Al1 Al 0.040 0.500 0.785
Tl1 Tl 0.207 0.500 0.843
# - Total magnetization: 0.0 μB/f.u.
# - Total DFT energy (no corrections): -3.753 eV per atom

=====

Record 7
# Ac12Al2Tl5, relaxed, DFT GGA-PBE
data_Ac12Al2Tl5
_cell_length_a 18.314
_cell_length_b 8.199
_cell_length_c 10.515
_cell_angle_alpha 90.00
_cell_angle_beta 97.49
_cell_angle_gamma 90.00
_symmetry_space_group_name_H-M 'C 1 2/m 1'
_symmetry_Int_Tables_number 12
_symmetry_space_group_name_Hall '-C 2y'
loop_
_atom_site_label
_atom_site_type_symbol
_atom_site_fract_x
_atom_site_fract_y
_atom_site_fract_z
Ac1 Ac 0.019 0.000 0.299
Ac2 Ac 0.027 0.500 0.831
Ac3 Ac 0.147 0.253 0.583
Ac4 Ac 0.171 0.258 0.119
Al1 Al 0.000 0.161 0.000
Tl1 Tl 0.000 0.500 0.500
Tl2 Tl 0.159 0.000 0.860
Tl3 Tl 0.207 0.000 0.368
# - Total magnetization: 0.0 μB/f.u.
# - Total DFT energy (no corrections): -3.694 eV per atom

=====

Record 8
# Ac6AlTl, relaxed, DFT GGA-PBE
data_Ac6AlTl
_cell_length_a 5.654
_cell_length_b 5.654
_cell_length_c 19.636
_cell_angle_alpha 90.00
_cell_angle_beta 90.00
_cell_angle_gamma 90.00
_symmetry_space_group_name_H-M 'I 4/m m m'
_symmetry_Int_Tables_number 139
_symmetry_space_group_name_Hall '-I 4 2'
loop_
_atom_site_label
_atom_site_type_symbol
_atom_site_fract_x
_atom_site_fract_y
_atom_site_fract_z
Ac1 Ac 0.000 0.000 0.249
Ac2 Ac 0.000 0.500 0.106
Al1 Al 0.000 0.000 0.000
Tl1 Tl 0.000 0.000 0.500
# - Total magnetization: 0.0 μB/f.u.
# - Total DFT energy (no corrections): -3.957 eV per atom

=====

Record 9
# Ac3AlTl2, relaxed, DFT GGA-PBE
data_Ac3AlTl2
_cell_length_a 13.485
_cell_length_b 4.732
_cell_length_c 13.406
_cell_angle_alpha 90.00
_cell_angle_beta 90.00
_cell_angle_gamma 90.00
_symmetry_space_group_name_H-M 'P n m a'
_symmetry_Int_Tables_number 62
_symmetry_space_group_name_Hall '-P 2ac 2n'
loop_
_atom_site_label
_atom_site_type_symbol
_atom_site_fract_x
_atom_site_fract_y
_atom_site_fract_z
Ac1 Ac 0.065 0.250 0.118
Ac2 Ac 0.117 0.750 0.552
Ac3 Ac 0.210 0.250 0.789
Al1 Al 0.133 0.250 0.361
Tl1 Tl 0.021 0.750 0.309
Tl2 Tl 0.194 0.750 0.990
# - Total magnetization: 0.0 μB/f.u.
# - Total DFT energy (no corrections): -3.765 eV per atom

=====

Record 10
# Ac3Al4Tl2, relaxed, DFT GGA-PBE
data_Ac3Al4Tl2
_cell_length_a 12.396
_cell_length_b 4.635
_cell_length_c 9.323
_cell_angle_alpha 90.00
_cell_angle_beta 100.00
_cell_angle_gamma 90.00
_symmetry_space_group_name_H-M 'C 1 2/m 1'
_symmetry_Int_Tables_number 12
_symmetry_space_group_name_Hall '-C 2y'
loop_
_atom_site_label
_atom_site_type_symbol
_atom_site_fract_x
_atom_site_fract_y
_atom_site_fract_z
Ac1 Ac 0.000 0.000 0.000
Ac2 Ac 0.165 0.500 0.669
Al1 Al 0.053 0.000 0.393
Al2 Al 0.226 0.500 0.050
Tl1 Tl 0.114 0.500 0.278
# - Total magnetization: 0.0 μB/f.u.
# - Total DFT energy (no corrections): -3.907 eV per atom

=====

Record 11
# AcAlTl2, relaxed, DFT GGA-PBE
data_AcAlTl2
_cell_length_a 4.8614
_cell_length_b 4.8614
_cell_length_c 17.3357
_cell_angle_alpha 90.00
_cell_angle_beta 90.00
_cell_angle_gamma 120.00
_symmetry_space_group_name_H-M 'R -3 m'
_symmetry_Int_Tables_number 166
_symmetry_space_group_name_Hall '-R 3 2"'
loop_
_atom_site_label
_atom_site_type_symbol
_atom_site_fract_x
_atom_site_fract_y
_atom_site_fract_z
Ac1 Ac 0.0000 0.0000 0.0000
Al1 Al 0.0000 0.0000 0.5000
Tl1 Tl 0.0000 0.0000 0.2258
# - Total magnetization: 0.0 μB/f.u.
# - Total DFT energy (no corrections): -3.314 eV per atom

=====

Record 12
# Ac5Al2Tl2, relaxed, DFT GGA-PBE
data_Ac5Al2Tl2
_cell_length_a 17.829
_cell_length_b 8.586
_cell_length_c 8.496
_cell_angle_alpha 90.00
_cell_angle_beta 90.00
_cell_angle_gamma 90.00
_symmetry_space_group_name_H-M 'C m c e'
_symmetry_Int_Tables_number 64
_symmetry_space_group_name_Hall '-C 2ac 2'
loop_
_atom_site_label
_atom_site_type_symbol
_atom_site_fract_x
_atom_site_fract_y
_atom_site_fract_z
Ac1 Ac 0.000 0.000 0.000
Ac2 Ac 0.134 0.186 0.323
Al1 Al 0.000 0.109 0.613
Tl1 Tl 0.217 0.000 0.000
# - Total magnetization: 0.0 μB/f.u.
# - Total DFT energy (no corrections): -3.903 eV per atom

=====

Record 13
# Ac2Al3Tl, relaxed, DFT GGA-PBE
data_Ac2Al3Tl
_cell_length_a 9.207
_cell_length_b 9.439
_cell_length_c 15.996
_cell_angle_alpha 90.00
_cell_angle_beta 90.00
_cell_angle_gamma 90.00
_symmetry_space_group_name_H-M 'F m m m'
_symmetry_Int_Tables_number 69
_symmetry_space_group_name_Hall '-F 2 2'
loop_
_atom_site_label
_atom_site_type_symbol
_atom_site_fract_x
_atom_site_fract_y
_atom_site_fract_z
Ac1 Ac 0.000 0.249 0.000
Ac2 Ac 0.250 0.250 0.250
Al1 Al 0.000 0.000 0.338
Al2 Al 0.243 0.000 0.419
Tl1 Tl 0.000 0.000 0.167
# - Total magnetization: 0.0 μB/f.u.
# - Total DFT energy (no corrections): -3.999 eV per atom

=====

Record 14
# Ac4AlTl3, relaxed, DFT GGA-PBE
data_Ac4AlTl3
_cell_length_a 4.028
_cell_length_b 4.028
_cell_length_c 16.881
_cell_angle_alpha 90.00
_cell_angle_beta 90.00
_cell_angle_gamma 90.00
_symmetry_space_group_name_H-M 'P 4/m m m'
_symmetry_Int_Tables_number 123
_symmetry_space_group_name_Hall '-P 4 2'
loop_
_atom_site_label
_atom_site_type_symbol
_atom_site_fract_x
_atom_site_fract_y
_atom_site_fract_z
Ac1 Ac 0.000 0.000 0.115
Ac2 Ac 0.000 0.000 0.372
Al1 Al 0.500 0.500 0.000
Tl1 Tl 0.500 0.500 0.244
Tl2 Tl 0.500 0.500 0.500
# - Total magnetization: 0.0 μB/f.u.
# - Total DFT energy (no corrections): -3.726 eV per atom

=====

Record 15
# Ac3Al3Tl, relaxed, DFT GGA-PBE
data_Ac3Al3Tl
_cell_length_a 11.981
_cell_length_b 4.911
_cell_length_c 15.655
_cell_angle_alpha 90.00
_cell_angle_beta 110.44
_cell_angle_gamma 90.00
_symmetry_space_group_name_H-M 'C 1 2/m 1'
_symmetry_Int_Tables_number 12
_symmetry_space_group_name_Hall '-C 2y'
loop_
_atom_site_label
_atom_site_type_symbol
_atom_site_fract_x
_atom_site_fract_y
_atom_site_fract_z
Ac1 Ac 0.026 0.000 0.377
Ac2 Ac 0.108 0.000 0.925
Ac3 Ac 0.242 0.000 0.220
Al1 Al 0.032 0.500 0.224
Al2 Al 0.098 0.500 0.075
Al3 Al 0.125 0.500 0.541
Tl1 Tl 0.239 0.500 0.394
# - Total magnetization: 0.0 μB/f.u.
# - Total DFT energy (no corrections): -4.006 eV per atom

=====

Record 16
# Ac4Al2Tl5, relaxed, DFT GGA-PBE
data_Ac4Al2Tl5
_cell_length_a 8.644
_cell_length_b 4.204
_cell_length_c 9.933
_cell_angle_alpha 90.00
_cell_angle_beta 91.74
_cell_angle_gamma 90.00
_symmetry_space_group_name_H-M 'P 1 2/m 1'
_symmetry_Int_Tables_number 10
_symmetry_space_group_name_Hall '-P 2y'
loop_
_atom_site_label
_atom_site_type_symbol
_atom_site_fract_x
_atom_site_fract_y
_atom_site_fract_z
Ac1 Ac 0.215 0.000 0.141
Ac2 Ac 0.247 0.000 0.619
Al1 Al 0.075 0.500 0.385
Tl1 Tl 0.119 0.500 0.870
Tl2 Tl 0.418 0.500 0.356
Tl3 Tl 0.500 0.500 0.000
# - Total magnetization: 0.0 μB/f.u.
# - Total DFT energy (no corrections): -3.543 eV per atom

=====

Record 17
# Ac8AlTl2, relaxed, DFT GGA-PBE
data_Ac8AlTl2
_cell_length_a 20.758
_cell_length_b 5.695
_cell_length_c 7.530
_cell_angle_alpha 90.00
_cell_angle_beta 103.73
_cell_angle_gamma 90.00
_symmetry_space_group_name_H-M 'C 1 2/m 1'
_symmetry_Int_Tables_number 12
_symmetry_space_group_name_Hall '-C 2y'
loop_
_atom_site_label
_atom_site_type_symbol
_atom_site_fract_x
_atom_site_fract_y
_atom_site_fract_z
Ac1 Ac 0.017 0.000 0.274
Ac2 Ac 0.090 0.500 0.959
Ac3 Ac 0.156 0.500 0.480
Ac4 Ac 0.207 0.000 0.818
Al1 Al 0.000 0.500 0.500
Tl1 Tl 0.183 0.000 0.249
# - Total magnetization: 0.0 μB/f.u.
# - Total DFT energy (no corrections): -3.889 eV per atom

=====

Record 18
# Ac3AlTl2, relaxed, DFT GGA-PBE
data_Ac3AlTl2
_cell_length_a 17.268
_cell_length_b 6.949
_cell_length_c 7.005
_cell_angle_alpha 90.00
_cell_angle_beta 104.34
_cell_angle_gamma 90.00
_symmetry_space_group_name_H-M 'C 1 2/c 1'
_symmetry_Int_Tables_number 15
_symmetry_space_group_name_Hall '-C 2yc'
loop_
_atom_site_label
_atom_site_type_symbol
_atom_site_fract_x
_atom_site_fract_y
_atom_site_fract_z
Ac1 Ac 0.000 0.153 0.250
Ac2 Ac 0.169 0.391 0.604
Al1 Al 0.000 0.351 0.750
Tl1 Tl 0.158 0.116 0.031
# - Total magnetization: 0.0 μB/f.u.
# - Total DFT energy (no corrections): -3.711 eV per atom

=====

Record 19
# Ac4AlTl, relaxed, DFT GGA-PBE
data_Ac4AlTl
_cell_length_a 5.5571
_cell_length_b 5.5571
_cell_length_c 27.4907
_cell_angle_alpha 90.00
_cell_angle_beta 90.00
_cell_angle_gamma 120.00
_symmetry_space_group_name_H-M 'R -3 m'
_symmetry_Int_Tables_number 166
_symmetry_space_group_name_Hall '-R 3 2"'
loop_
_atom_site_label
_atom_site_type_symbol
_atom_site_fract_x
_atom_site_fract_y
_atom_site_fract_z
Ac1 Ac 0.0000 0.0000 0.1212
Ac2 Ac 0.0000 0.0000 0.3718
Al1 Al 0.0000 0.0000 0.0000
Tl1 Tl 0.0000 0.0000 0.5000
# - Total magnetization: 0.0 μB/f.u.
# - Total DFT energy (no corrections): -3.813 eV per atom

=====

Record 20
# Ac5Al2Tl, relaxed, DFT GGA-PBE
data_Ac5Al2Tl
_cell_length_a 8.436
_cell_length_b 8.436
_cell_length_c 16.340
_cell_angle_alpha 90.00
_cell_angle_beta 90.00
_cell_angle_gamma 90.00
_symmetry_space_group_name_H-M 'I 4/m c m'
_symmetry_Int_Tables_number 140
_symmetry_space_group_name_Hall '-I 4 2c'
loop_
_atom_site_label
_atom_site_type_symbol
_atom_site_fract_x
_atom_site_fract_y
_atom_site_fract_z
Ac1 Ac 0.000 0.000 0.000
Ac2 Ac 0.172 0.328 0.146
Al1 Al 0.113 0.387 0.500
Tl1 Tl 0.000 0.000 0.250
# - Total magnetization: 0.0 μB/f.u.
# - Total DFT energy (no corrections): -4.047 eV per atom